(1)
Below is a relaxed structure of Ta2AuSe, with properties calculated at the PBE level.

The structure in CIF format:
```
data_Ta2AuSe
_chemical_formula_sum 'Ta2 Au1 Se1'
_symmetry_space_group_name_H-M 'P 1 2/m 1'
_symmetry_Int_Tables_number 10
_cell_length_a 2.9957
_cell_length_b 4.2004
_cell_length_c 5.8725
_cell_angle_alpha 90.00
_cell_angle_beta 102.18
_cell_angle_gamma 90.00
loop_
_symmetry_equiv_pos_as_xyz
'x,y,z'
'-x,-y,-z'
'-x,y,-z'
'x,-y,z'
loop_
_atom_site_label
_atom_site_fract_x
_atom_site_fract_y
_atom_site_fract_z
Ta1 0.0807 0.0000 0.2562
Au1 0.5000 0.5000 0.0000
Se1 0.0000 0.5000 0.5000
```

Results
* formation energy from raw total energies: 0.052 eV/atom
* DOS(E_F): 3.26 states/eV/f.u.
* uncorrected energy: -0.5560 Ry per atom
* spin magnetization: 0.00 μB per formula unit
* calculated volume: 18.057 Å³/atom

---

(2)
Below is a relaxed structure of Tb3Ga6Co5, with properties calculated at the PBE level.

The structure in CIF format:
```
data_Tb3Ga6Co5
_chemical_formula_sum 'Tb6 Ga12 Co10'
_symmetry_space_group_name_H-M 'P m m n'
_symmetry_Int_Tables_number 59
_cell_length_a 4.0976
_cell_length_b 12.2603
_cell_length_c 9.0069
_cell_angle_alpha 90.00
_cell_angle_beta 90.00
_cell_angle_gamma 90.00
loop_
_symmetry_equiv_pos_as_xyz
'x,y,z'
'-x,-y,-z'
'-x+1/2,-y+1/2,z'
'x+1/2,y+1/2,-z'
'x+1/2,-y,-z'
'-x+1/2,y,z'
'-x,y+1/2,-z'
'x,-y+1/2,z'
loop_
_atom_site_label
_atom_site_fract_x
_atom_site_fract_y
_atom_site_fract_z
Tb1 0.2500 0.0528 0.2489
Tb2 0.2500 0.7500 0.2656
Ga1 0.2500 0.0714 0.5895
Ga2 0.2500 0.2500 0.0348
Ga3 0.2500 0.2500 0.4227
Ga4 0.2500 0.5989 0.9831
Co1 0.2500 0.0911 0.8668
Co2 0.2500 0.6416 0.5455
Co3 0.2500 0.7500 0.7784
```

Results
* DOS(E_F): 14.34 states/eV/f.u.
* uncorrected energy: -0.3858 Ry per atom
* spin magnetization: 1.01 μB per formula unit
* formation energy from the elements: -0.42 eV per atom
* calculated volume: 16.160 Å³/atom